# YBeAu3 | OQMD | PBE | relaxed
# Final energy ... -4.57 eV per atom
# Total magnetic moment ... 0.00 μB/f.u.
data_YBeAu3
_cell_length_a 5.400
_cell_length_b 5.852
_cell_length_c 5.847
_cell_angle_alpha 90.00
_cell_angle_beta 95.77
_cell_angle_gamma 90.00
_symmetry_space_group_name_H-M 'P 1 21/m 1'
_symmetry_Int_Tables_number 11
loop_
_symmetry_equiv_pos_as_xyz
'x,y,z'
'-x,-y,-z'
'-x,y+1/2,-z'
'x,-y+1/2,z'
loop_
_atom_site_label
_atom_site_type_symbol
_atom_site_fract_x
_atom_site_fract_y
_atom_site_fract_z
Y1 Y 0.182 0.250 0.172
Be1 Be 0.067 0.750 0.370
Au1 Au 0.281 0.501 0.647
Au2 Au 0.327 0.750 0.084